Pa2Si3TcIr4 | PBE | optimized geometry

Unit cell a=4.066 b=4.066 c=10.374 alpha=90.00 beta=90.00 gamma=90.00
Site moments in Bohr magnetons follow the coordinates.
Element x y z (fractional)
Si: 0.000 0.500 0.130  0.00
Si: 0.500 0.000 0.870  0.00
Si: 0.000 0.000 0.500  0.01
Ir: 0.000 0.000 0.000  0.00
Ir: 0.500 0.000 0.641  0.02
Ir: 0.000 0.500 0.359  0.02
Ir: 0.500 0.500 0.000  0.00
Tc: 0.500 0.500 0.500  0.39
Pa: 0.500 0.000 0.243  0.04
Pa: 0.000 0.500 0.757  0.04

## Properties
Space-group type ... P-4m2 (115)



Th2PaSi2Ir7 | PBE | optimized geometry

Unit cell a=4.071 b=4.071 c=13.560 alpha=84.62 beta=84.62 gamma=89.60
Element x y z (fractional)
Ir: 0.548 0.049 0.845
Ir: 0.049 0.548 0.845
Ir: 0.625 0.625 0.575
Ir: 0.951 0.452 0.155
Ir: 0.500 0.500 0.000
Ir: 0.375 0.375 0.425
Ir: 0.452 0.951 0.155
Th: 0.102 0.102 0.650
Th: 0.898 0.898 0.350
Pa: 0.000 0.000 0.000
Si: 0.579 0.579 0.750
Si: 0.421 0.421 0.250

## Properties
Space-group type ... C2/m (12)



ThPaSi2Ir2 | PBE | optimized geometry

Unit cell a=4.228 b=4.228 c=7.752 alpha=90.00 beta=90.00 gamma=120.00
Element x y z (fractional)
Ir: 0.333 0.667 0.729
Ir: 0.667 0.333 0.271
Si: 0.667 0.333 0.746
Si: 0.333 0.667 0.254
Th: 0.000 0.000 0.000
Pa: 0.000 0.000 0.500

## Properties
Space-group type ... P-3m1 (164)



PaTiSi2Ir5 | PBE | optimized geometry

Unit cell a=3.977 b=3.977 c=10.580 alpha=90.00 beta=90.00 gamma=90.00
Site moments in Bohr magnetons follow the coordinates.
Element x y z (fractional)
Pa: 0.000 0.000 0.500  0.12
Ir: 0.500 0.000 0.159  0.00
Ir: 0.500 0.000 0.841  0.00
Ir: 0.000 0.500 0.841  0.00
Ir: 0.000 0.500 0.159  0.00
Ir: 0.500 0.500 0.500  -0.01
Ti: 0.000 0.000 0.000  0.00
Si: 0.500 0.500 0.724  0.00
Si: 0.500 0.500 0.276  0.00

## Properties
Space-group type ... P4/mmm (123)



Number 1: N(E_F) 0.5131 states/eV/atom, formation energy from raw total energies -0.821 eV per atom. Number 2: N(E_F) 0.5309 states/eV/atom, formation energy from raw total energies -0.925 eV per atom. Number 3: N(E_F) 1.1837 states/eV/atom, formation energy from raw total energies -0.972 eV per atom. Number 4: N(E_F) 0.9950 states/eV/atom, formation energy from raw total energies -0.488 eV per atom.